No. 1
## Pm3Pt3Au2 (PBE)

Data for crystalline Pm3Pt3Au2 at its relaxed geometry.

abc: 5.821 8.703 8.703
angles: 120.00 90.00 90.00
Fractional coordinates of all 16 atoms:
Pm: 0.750 0.314 0.000
Pm: 0.750 0.686 0.686
Pm: 0.750 0.000 0.314
Pm: 0.250 0.686 0.000
Pm: 0.250 0.314 0.314
Pm: 0.250 0.000 0.686
Pt: 0.750 0.647 0.000
Pt: 0.750 0.353 0.353
Pt: 0.750 0.000 0.647
Pt: 0.250 0.353 0.000
Pt: 0.250 0.647 0.647
Pt: 0.250 0.000 0.353
Au: 0.000 0.333 0.667
Au: 0.500 0.667 0.333
Au: 0.000 0.667 0.333
Au: 0.500 0.333 0.667

- Electronic total energy: -5.75 eV per atom
- Total moment: 0.00 μB/atom
- Space-group type: P6_3/mcm, No. 193

No. 2
## Pm2Pt4Au (PBE)

Data for crystalline Pm2Pt4Au at its relaxed geometry.

abc: 4.081 4.081 9.562
angles: 102.32 102.32 90.00
Fractional coordinates of all 7 atoms:
Pm: 0.616 0.616 0.233
Pm: 0.384 0.384 0.767
Pt: 0.145 0.145 0.290
Pt: 0.855 0.855 0.710
Pt: 0.750 0.250 0.500
Pt: 0.250 0.750 0.500
Au: 0.000 0.000 0.000

- Electronic total energy: -6.13 eV per atom
- Total moment: 0.00 μB/atom
- Space-group type: I4/mmm, No. 139

No. 3
## PmPt4Au8 (PBE)

Data for crystalline PmPt4Au8 at its relaxed geometry.

abc: 5.665 7.175 7.175
angles: 81.03 66.75 66.75
Fractional coordinates of all 13 atoms:
Pm: 0.000 0.000 0.000
Pt: 0.000 0.000 0.500
Pt: 0.500 0.000 0.500
Pt: 0.000 0.500 0.000
Pt: 0.500 0.500 0.000
Au: 0.000 0.334 0.666
Au: 0.000 0.666 0.334
Au: 0.334 0.666 0.666
Au: 0.666 0.334 0.334
Au: 0.500 0.782 0.218
Au: 0.500 0.218 0.782
Au: 0.282 0.218 0.218
Au: 0.718 0.782 0.782

- Electronic total energy: -4.48 eV per atom
- Total moment: 0.00 μB/atom
- Space-group type: I4/mmm, No. 139

No. 4
## Pm3PtAu2 (PBE)

Data for crystalline Pm3PtAu2 at its relaxed geometry.

abc: 6.009 8.418 7.483
angles: 106.30 113.68 90.00
Fractional coordinates of all 12 atoms:
Pm: 0.501 0.250 0.000
Pm: 0.499 0.750 0.000
Pm: 0.152 0.077 0.307
Pm: 0.845 0.423 0.693
Pm: 0.155 0.577 0.307
Pm: 0.848 0.923 0.693
Pt: 0.999 0.750 0.000
Pt: 0.001 0.250 0.000
Au: 0.673 0.586 0.344
Au: 0.671 0.086 0.344
Au: 0.329 0.914 0.656
Au: 0.327 0.414 0.656

- Electronic total energy: -5.31 eV per atom
- Excess energy over the best structure of this formula in the dataset: 45 meV per atom
- Total moment: 0.00 μB/atom
- Space-group type: C2/c, No. 15

No. 5
## Pm5PtAu4 (PBE)

Data for crystalline Pm5PtAu4 at its relaxed geometry.

abc: 3.650 3.650 18.590
angles: 90.00 90.00 90.00
Fractional coordinates of all 10 atoms:
Pm: 0.500 0.500 0.094
Pm: 0.500 0.500 0.297
Pm: 0.500 0.500 0.500
Pm: 0.500 0.500 0.703
Pm: 0.500 0.500 0.906
Pt: 0.000 0.000 0.000
Au: 0.000 0.000 0.198
Au: 0.000 0.000 0.399
Au: 0.000 0.000 0.601
Au: 0.000 0.000 0.802

- Electronic total energy: -5.13 eV per atom
- Total moment: 0.00 μB/atom
- Space-group type: P4/mmm, No. 123

No. 6
## Pm6PtAu3 (PBE)

Data for crystalline Pm6PtAu3 at its relaxed geometry.

abc: 7.324 7.690 10.665
angles: 90.00 84.72 90.00
Fractional coordinates of all 20 atoms:
Pm: 0.686 0.173 0.928
Pm: 0.649 0.178 0.582
Pm: 0.669 0.455 0.248
Pm: 0.331 0.545 0.752
Pm: 0.351 0.822 0.418
Pm: 0.314 0.827 0.072
Pm: 0.186 0.327 0.428
Pm: 0.149 0.322 0.082
Pm: 0.169 0.045 0.748
Pm: 0.831 0.955 0.252
Pm: 0.851 0.678 0.918
Pm: 0.814 0.673 0.572
Pt: 0.500 0.500 0.500
Pt: 0.000 0.000 0.000
Au: 0.553 0.881 0.771
Au: 0.500 0.500 0.000
Au: 0.447 0.119 0.229
Au: 0.053 0.619 0.271
Au: 0.000 0.000 0.500
Au: 0.947 0.381 0.729

- Electronic total energy: -5.08 eV per atom
- Total moment: 0.00 μB/atom
- Space-group type: P2_1/c, No. 14

No. 7
## Pm6PtAu6 (PBE)

Data for crystalline Pm6PtAu6 at its relaxed geometry.

abc: 6.254 6.254 10.076
angles: 90.00 90.00 120.01
Fractional coordinates of all 13 atoms:
Pm: 0.000 0.000 0.728
Pm: 0.000 0.000 0.272
Pm: 0.333 0.667 0.000
Pm: 0.667 0.333 0.000
Pm: 0.333 0.667 0.500
Pm: 0.667 0.333 0.500
Pt: 0.000 0.000 0.000
Au: 0.000 0.500 0.747
Au: 0.500 0.000 0.747
Au: 0.500 0.500 0.747
Au: 0.500 0.000 0.253
Au: 0.000 0.500 0.253
Au: 0.500 0.500 0.253

- Electronic total energy: -4.76 eV per atom
- Total moment: 0.00 μB/atom
- Space-group type: P6/mmm, No. 191

No. 8
## PmPt2Au4 (PBE)

Data for crystalline PmPt2Au4 at its relaxed geometry.

abc: 5.472 5.666 5.666
angles: 76.71 61.22 61.22
Fractional coordinates of all 7 atoms:
Pm: 0.000 0.000 0.000
Pt: 0.750 0.500 0.500
Pt: 0.250 0.500 0.500
Au: 0.699 0.602 0.000
Au: 0.301 0.398 0.000
Au: 0.699 0.000 0.602
Au: 0.301 0.000 0.398

- Electronic total energy: -4.71 eV per atom
- Total moment: 0.00 μB/atom
- Space-group type: C2/m, No. 12